<i>
This record from Alexandria describes an optimized crystal structure of AcRhS. The functional is PBE.

abc: 3.989 4.330 4.330
angles: 120.00 90.00 90.00
Sites, in units of the cell vectors:
Rh 0.168 0.333 0.667
Ac 0.667 0.667 0.333
S 0.166 0.000 0.000

Results
M_tot: 0.000 μB/f.u.
N(E_F): 0.126 states/eV per atom
space group: P3m1



<ii>
This record from Alexandria describes an optimized crystal structure of AcRhS. The functional is PBE.

abc: 4.321 11.034 6.013
angles: 93.41 111.06 90.00
Sites, in units of the cell vectors:
Ac 0.128 0.384 0.256
S 0.108 0.105 0.216
S 0.839 0.329 0.678
Rh 0.589 0.598 0.178
Ac 0.619 0.878 0.238
Rh 0.331 0.832 0.661
S 0.161 0.671 0.322
S 0.892 0.895 0.784
Rh 0.669 0.168 0.339
Ac 0.381 0.122 0.762
Rh 0.411 0.402 0.822
Ac 0.872 0.616 0.744

Results
M_tot: 0.000 μB/f.u.
N(E_F): 0.417 states/eV per atom
space group: C2/m



Short version: <i> is the most stable of them.